# LaSmYTm

An optimized crystal structure of LaSmYTm (PBE, Alexandria via LeMat-Bulk).

Results
Density of states at the Fermi level (states/eV/f.u.): 7.5
Energy above the lowest structure with this stoichiometry (eV/atom): 0.006
Space group: Cm (8)
Calculated density (g/cm³): 6.747
Total DFT energy (no corrections) (eV per atom): -5.05
ΔE_f (eV/atom): 0.10

Structure (POSCAR):
```
LaSmYTm
1.0
3.802 0.000 0.615
0.000 5.880 0.000
0.979 -2.940 6.181
La Sm Y Tm
1 1 1 1
direct
0.408 0.138 0.276
0.670 0.404 0.808
0.191 0.880 0.759
0.917 0.643 0.286
```